No. 1
CoSbIr: optimized geometry, PBE.

a b c (Å): 8.488 3.844 6.315
angles (deg): 90.00 90.00 90.00
Space group Pnma (No. 62)
Symmetry-distinct sites (fractional):
Co1 0.123 0.250 0.224 (multiplicity 4)
Sb1 0.112 0.250 0.811 (multiplicity 4)
Ir1 0.118 0.750 0.521 (multiplicity 4)

Results
- Total moment: 5.9 Bohr magnetons per cell
- VASP energy: -6.572 eV/atom
- Formation energy from raw total energies: 0.4 eV/f.u.



No. 2
Co2SbIr: optimized geometry, PBE.

a b c (Å): 2.912 2.912 6.870
angles (deg): 90.00 90.00 90.00
Space group P4/mmm (No. 123)
Symmetry-distinct sites (fractional):
Co1 0.000 0.000 0.234 (multiplicity 2)
Sb1 0.500 0.500 0.500 (multiplicity 1)
Ir1 0.500 0.500 0.000 (multiplicity 1)

Results
- Total moment: 3.0 Bohr magnetons per cell
- VASP energy: -6.478 eV/atom
- Formation energy from raw total energies: 1.3 eV/f.u.



No. 3
Co2SbIr: optimized geometry, PBE.

a b c (Å): 2.881 3.671 5.430
angles (deg): 90.00 90.00 90.00
Space group Pmmm (No. 47)
Symmetry-distinct sites (fractional):
Co1 0.000 0.000 0.233 (multiplicity 2)
Sb1 0.500 0.500 0.500 (multiplicity 1)
Ir1 0.500 0.500 0.000 (multiplicity 1)

Results
- Total moment: 2.8 Bohr magnetons per cell
- VASP energy: -6.569 eV/atom
- Formation energy from raw total energies: 0.9 eV/f.u.



No. 4
CoSb2Ir: optimized geometry, PBE.

a b c (Å): 3.084 3.989 13.424
angles (deg): 90.00 90.00 90.00
Space group Imm2 (No. 44)
Symmetry-distinct sites (fractional):
Co1 0.000 0.000 0.000 (multiplicity 2)
Sb1 0.000 0.000 0.556 (multiplicity 2)
Sb2 0.000 0.500 0.295 (multiplicity 2)
Ir1 0.000 0.500 0.877 (multiplicity 2)

Results
- Total moment: 1.4 Bohr magnetons per cell
- VASP energy: -5.865 eV/atom
- Formation energy from raw total energies: 0.8 eV/f.u.
- Offset from the most stable computed form: 383 meV per atom



No. 5
Co2SbIr: optimized geometry, PBE.

a b c (Å): 2.919 4.254 4.542
angles (deg): 90.00 90.00 90.00
Space group Pmm2 (No. 25)
Symmetry-distinct sites (fractional):
Co1 0.000 0.000 0.000 (multiplicity 1)
Co2 0.000 0.500 0.321 (multiplicity 1)
Sb1 0.500 0.000 0.480 (multiplicity 1)
Ir1 0.500 0.500 0.847 (multiplicity 1)

Results
- Total moment: 2.2 Bohr magnetons per cell
- VASP energy: -6.634 eV/atom
- Formation energy from raw total energies: 0.7 eV/f.u.



No. 6
CoSbIr2: optimized geometry, PBE.

a b c (Å): 8.810 2.947 4.853
angles (deg): 90.00 101.17 90.00
Space group Cm (No. 8)
Symmetry-distinct sites (fractional):
Co1 0.000 0.000 0.000 (multiplicity 2)
Sb1 0.252 0.500 0.278 (multiplicity 2)
Ir1 0.005 0.500 0.541 (multiplicity 2)
Ir2 0.258 0.000 0.809 (multiplicity 2)

Results
- Total moment: 3.6 Bohr magnetons per cell
- VASP energy: -7.008 eV/atom
- Formation energy from raw total energies: 0.9 eV/f.u.